# MnSiOF2

MnSiOF2 after structural relaxation (PBE with a Hubbard U, Alexandria via LeMat-Bulk).

Cell lengths 4.403, 4.403, 3.474 Å; angles 90.00, 90.00, 90.00 degrees
Fractional positions:
Mn 0.000 0.000 0.000
Si 0.500 0.500 0.500
O 0.500 0.500 0.000
F 0.000 0.500 0.500
F 0.500 0.000 0.500

Properties
DOS at the Fermi energy   1.40 states/eV per cell
Energy above the lowest structure with this stoichiometry   0.0 meV/atom
Total DFT energy (no corrections)   -5.67 eV/atom